Below is a relaxed structure of BaLi2Hg, with properties calculated at the PBE level.

The structure in CIF format:
```
data_BaLi2Hg
_chemical_formula_sum 'Ba2 Li4 Hg2'
_symmetry_space_group_name_H-M 'I -4 m 2'
_symmetry_Int_Tables_number 119
_symmetry_space_group_name_Hall 'I -4 -2'
_cell_length_a 5.132
_cell_length_b 5.132
_cell_length_c 9.108
_cell_angle_alpha 90.00
_cell_angle_beta 90.00
_cell_angle_gamma 90.00
loop_
_atom_site_label
_atom_site_fract_x
_atom_site_fract_y
_atom_site_fract_z
_atom_site_occupancy
Ba1 0.000 0.000 0.000 1
Li1 0.000 0.000 0.500 1
Li2 0.000 0.500 0.250 1
Hg1 0.000 0.500 0.750 1
```

Results
* theoretical density: 4.87 g/cm3
* energy of formation: -153 meV per atom
* E: -1.666 eV per atom